No. 1
Below is Ac2PrDyS6 after structural relaxation, with properties calculated at the GGA-PBE level.

Lattice parameters (Å, degrees): 7.6017 7.6017 7.6017 57.83 57.83 57.83
Atoms (fractional coordinates):
Ac 0.0000 0.0000 0.0000
Ac 0.4983 0.4983 0.4983
Pr 0.2134 0.2134 0.2134
Dy 0.7106 0.7106 0.7106
S 0.0728 0.8361 0.4275
S 0.3430 0.5859 0.9139
S 0.4275 0.0728 0.8361
S 0.5859 0.9139 0.3430
S 0.8361 0.4275 0.0728
S 0.9139 0.3430 0.5859

Properties
The formation energy (no corrections) is -2.086 eV/atom. The space group is No. 146.


No. 2
Below is RbZr2Cu after structural relaxation, with properties calculated at the GGA-PBE level.

Lattice parameters (Å, degrees): 4.9827 4.9827 4.9827 60.00 60.00 60.00
Atoms (fractional coordinates):
Rb 0.0000 0.0000 0.0000
Zr 0.2500 0.2500 0.2500
Zr 0.7500 0.7500 0.7500
Cu 0.5000 0.5000 0.5000

Properties
As for the energy above the lowest structure with this stoichiometry: 0 meV/atom. Its formation energy is 1.089 eV/atom. The space group is No. 225.